# 1
Tm5TlPb3 | PBE | optimized geometry

Geometry as CIF:
```
data_Tm5TlPb3
_cell_length_a 9.3187
_cell_length_b 9.3187
_cell_length_c 6.5548
_cell_angle_alpha 90.00
_cell_angle_beta 90.00
_cell_angle_gamma 120.00
_symmetry_space_group_name_H-M 'P 63/m c m'
_symmetry_Int_Tables_number 193
_symmetry_space_group_name_Hall '-P 6c 2'
loop_
_atom_site_label
_atom_site_fract_x
_atom_site_fract_y
_atom_site_fract_z
Tm1 0.0000 0.2771 0.2500
Tm2 0.3333 0.6667 0.0000
Tl1 0.0000 0.0000 0.0000
Pb1 0.0000 0.3806 0.7500
```


# 2
# PBE Tm3Tl2Pb, optimized geometry
data_Tm3Tl2Pb
_cell_length_a 5.0323
_cell_length_b 15.0824
_cell_length_c 4.2460
_cell_angle_alpha 90.00
_cell_angle_beta 90.00
_cell_angle_gamma 90.00
_symmetry_space_group_name_H-M 'C m m m'
_symmetry_Int_Tables_number 65
_symmetry_space_group_name_Hall '-C 2 2'
loop_
_atom_site_label
_atom_site_fract_x
_atom_site_fract_y
_atom_site_fract_z
Tm1 0.0000 0.0000 0.0000
Tm2 0.0000 0.3333 0.0000
Tl1 0.0000 0.1691 0.5000
Pb1 0.0000 0.5000 0.5000
# * distance to the lowest polymorph of the same formula: 0.000 eV per formula unit


# 3
# PBE Tm5TlPb4, optimized geometry
data_Tm5TlPb4
_cell_length_a 3.9580
_cell_length_b 3.9580
_cell_length_c 17.5579
_cell_angle_alpha 90.00
_cell_angle_beta 90.00
_cell_angle_gamma 90.00
_symmetry_space_group_name_H-M 'P 4/m m m'
_symmetry_Int_Tables_number 123
_symmetry_space_group_name_Hall '-P 4 2'
loop_
_atom_site_label
_atom_site_fract_x
_atom_site_fract_y
_atom_site_fract_z
Tm1 0.0000 0.0000 0.0000
Tm2 0.0000 0.0000 0.1999
Tm3 0.0000 0.0000 0.4015
Tl1 0.5000 0.5000 0.5000
Pb1 0.5000 0.5000 0.0994
Pb2 0.5000 0.5000 0.3009
# * distance to the lowest polymorph of the same formula: 0.000 eV per formula unit


Number 1: size of the total moment 0.00 Bohr magnetons per cell, DFT formation energy -0.42 eV per atom. Number 2: size of the total moment 0.00 Bohr magnetons per cell, DFT formation energy -0.32 eV per atom. Number 3: size of the total moment 0.00 Bohr magnetons per cell, DFT formation energy -0.32 eV per atom.